[1]
A relaxed LiLa2SeO crystal. Source: Alexandria, functional PBE.

Cell: 5.669 5.669 4.220 Å, 90.00 90.00 90.00°
Sites, in units of the cell vectors:
Li  0.000  0.000  0.000
La  0.000  0.500  0.500
La  0.500  0.000  0.500
Se  0.000  0.000  0.500
O  0.500  0.500  0.000

Values from the calculation:
Uncorrected energy: -23.3 eV/cell
Total moment: 0.4 μB/cell
Symmetry: P4/mmm, No. 123


[2]
A relaxed LiLa2SiO crystal. Source: Alexandria, functional PBE.

Cell: 4.999 4.999 4.153 Å, 90.00 90.00 90.00°
Sites, in units of the cell vectors:
Li  0.000  0.000  0.000
La  0.000  0.500  0.500
La  0.500  0.000  0.500
Si  0.500  0.500  0.000
O  0.000  0.000  0.500

Values from the calculation:
Uncorrected energy: -29.4 eV/cell
Total moment: 0.0 μB/cell
Symmetry: P4/mmm, No. 123


[3]
A relaxed Li7La3Sn2O12 crystal. Source: Alexandria, functional PBE.

Cell: 11.292 11.292 11.292 Å, 108.02 108.02 112.41°
Sites, in units of the cell vectors:
Li  0.052  0.802  0.605
Li  0.106  0.274  0.996
Li  0.110  0.106  0.332
Li  0.125  0.875  0.250
Li  0.198  0.302  0.250
Li  0.221  0.890  0.496
Li  0.226  0.394  0.504
Li  0.274  0.779  0.168
Li  0.279  0.774  0.668
Li  0.302  0.552  0.105
Li  0.375  0.625  0.750
Li  0.390  0.721  0.996
Li  0.394  0.390  0.168
Li  0.448  0.052  0.750
Li  0.552  0.948  0.250
Li  0.606  0.610  0.832
Li  0.610  0.279  0.004
Li  0.625  0.375  0.250
Li  0.698  0.448  0.895
Li  0.721  0.226  0.332
Li  0.726  0.221  0.832
Li  0.774  0.606  0.496
Li  0.779  0.110  0.504
Li  0.802  0.698  0.750
Li  0.875  0.125  0.750
Li  0.890  0.894  0.668
Li  0.894  0.726  0.004
Li  0.948  0.198  0.395
La  0.123  0.750  0.873
La  0.125  0.375  0.750
La  0.250  0.123  0.873
La  0.250  0.623  0.373
La  0.375  0.125  0.250
La  0.377  0.250  0.627
La  0.623  0.750  0.373
La  0.625  0.875  0.750
La  0.750  0.377  0.627
La  0.750  0.877  0.127
La  0.875  0.625  0.250
La  0.877  0.250  0.127
Sn  0.000  0.000  0.000
Sn  0.000  0.000  0.500
Sn  0.000  0.500  0.000
Sn  0.000  0.500  0.500
Sn  0.500  0.000  0.000
Sn  0.500  0.000  0.500
Sn  0.500  0.500  0.000
Sn  0.500  0.500  0.500
O  0.017  0.110  0.698
O  0.024  0.900  0.824
O  0.077  0.400  0.376
O  0.088  0.681  0.198
O  0.099  0.688  0.478
O  0.100  0.423  0.124
O  0.110  0.912  0.093
O  0.121  0.210  0.522
O  0.181  0.588  0.698
O  0.188  0.599  0.978
O  0.200  0.024  0.624
O  0.210  0.188  0.089
O  0.290  0.379  0.978
O  0.300  0.923  0.824
O  0.312  0.290  0.411
O  0.319  0.017  0.407
O  0.379  0.901  0.089
O  0.390  0.483  0.802
O  0.400  0.524  0.324
O  0.401  0.879  0.589
O  0.412  0.610  0.593
O  0.423  0.800  0.324
O  0.476  0.300  0.876
O  0.483  0.181  0.093
O  0.517  0.819  0.907
O  0.524  0.700  0.124
O  0.577  0.200  0.676
O  0.588  0.390  0.407
O  0.599  0.121  0.411
O  0.600  0.476  0.676
O  0.610  0.517  0.198
O  0.621  0.099  0.911
O  0.681  0.983  0.593
O  0.688  0.710  0.589
O  0.700  0.077  0.176
O  0.710  0.621  0.022
O  0.790  0.812  0.911
O  0.800  0.976  0.376
O  0.812  0.401  0.022
O  0.819  0.412  0.302
O  0.879  0.790  0.478
O  0.890  0.088  0.907
O  0.900  0.577  0.876
O  0.901  0.312  0.522
O  0.912  0.319  0.802
O  0.923  0.600  0.624
O  0.976  0.100  0.176
O  0.983  0.890  0.302

Values from the calculation:
Uncorrected energy: -608.9 eV/cell
Total moment: 0.0 μB/cell
Symmetry: I4_1/acd, No. 142


[4]
A relaxed SrLiLa2O crystal. Source: Alexandria, functional PBE.

Cell: 5.010 5.010 5.668 Å, 90.00 90.00 90.00°
Sites, in units of the cell vectors:
Sr  0.000  0.000  0.000
Li  0.500  0.500  0.000
La  0.000  0.500  0.500
La  0.500  0.000  0.500
O  0.000  0.000  0.500

Values from the calculation:
Uncorrected energy: -23.4 eV/cell
Total moment: 0.0 μB/cell
Symmetry: P4/mmm, No. 123


[5]
A relaxed Sr2LiLaTaO6 crystal. Source: Alexandria, functional PBE.

Cell: 6.826 6.826 6.826 Å, 50.62 50.62 50.62°
Sites, in units of the cell vectors:
Sr  0.000  0.000  0.000
Sr  0.410  0.410  0.410
Li  0.583  0.583  0.583
La  0.211  0.211  0.211
Ta  0.722  0.722  0.722
O  0.443  0.942  0.942
O  0.484  0.484  0.961
O  0.484  0.961  0.484
O  0.942  0.443  0.942
O  0.942  0.942  0.443
O  0.961  0.484  0.484

Values from the calculation:
Uncorrected energy: -81.6 eV/cell
E above lowest polymorph: 0.00 eV/f.u.
Total moment: 1.0 μB/cell
Symmetry: R3m, No. 160


[6]
A relaxed Sr2LiLaTaO6 crystal. Source: Alexandria, functional PBE.

Cell: 6.716 6.716 6.716 Å, 52.03 52.03 52.03°
Sites, in units of the cell vectors:
Sr  0.000  0.000  0.000
Sr  0.473  0.473  0.473
Li  0.823  0.823  0.823
La  0.673  0.673  0.673
Ta  0.186  0.186  0.186
O  0.409  0.409  0.924
O  0.409  0.924  0.409
O  0.427  0.948  0.948
O  0.924  0.409  0.409
O  0.948  0.427  0.948
O  0.948  0.948  0.427

Values from the calculation:
Uncorrected energy: -80.5 eV/cell
E above lowest polymorph: 1.09 eV/f.u.
Total moment: 0.0 μB/cell
Symmetry: R3m, No. 160


Number 1: ΔE_f (raw) -0.614 eV/atom. Number 2: ΔE_f (raw) -1.453 eV/atom. Number 3: ΔE_f (raw) -2.356 eV/atom. Number 4: ΔE_f (raw) -0.989 eV/atom. Number 5: ΔE_f (raw) -2.706 eV/atom. Number 6: ΔE_f (raw) -2.607 eV/atom.